Record 1
# Tb4Ga12Rh

A relaxed structure of Tb4Ga12Rh (PBE, Alexandria via LeMat-Bulk).

- VASP energy (eV/atom) = -4.2884
- ΔH_f (0 K) (eV per atom) = -0.63

Cell: 7.4752 7.4752 7.4752 Å, 109.47 109.47 109.47°
Atoms (fractional coordinates):
1 Tb 0.0000 0.0000 0.5000
2 Tb 0.0000 0.5000 0.0000
3 Tb 0.5000 0.0000 0.0000
4 Tb 0.5000 0.5000 0.5000
5 Ga 0.0000 0.2919 0.2919
6 Ga 0.0000 0.7081 0.7081
7 Ga 0.2500 0.5000 0.7500
8 Ga 0.2500 0.7500 0.5000
9 Ga 0.2919 0.0000 0.2919
10 Ga 0.2919 0.2919 0.0000
11 Ga 0.5000 0.2500 0.7500
12 Ga 0.5000 0.7500 0.2500
13 Ga 0.7081 0.0000 0.7081
14 Ga 0.7081 0.7081 0.0000
15 Ga 0.7500 0.2500 0.5000
16 Ga 0.7500 0.5000 0.2500
17 Rh 0.0000 0.0000 0.0000

Record 2
# Sm3BiTe2

A relaxed structure of Sm3BiTe2 (PBE, Alexandria via LeMat-Bulk).

- ΔE to the lowest computed polymorph (meV per atom) = 3
- VASP energy (eV/atom) = -5.3032
- E_form (uncorrected) (kJ/mol of atoms) = -120.6

Cell: 4.4784 6.3391 13.4683 Å, 90.00 90.00 90.00°
Atoms (fractional coordinates):
1 Sm 0.0000 0.0000 0.0000
2 Sm 0.0000 0.0000 0.3331
3 Sm 0.0000 0.0000 0.6669
4 Sm 0.5000 0.5000 0.1669
5 Sm 0.5000 0.5000 0.5000
6 Sm 0.5000 0.5000 0.8331
7 Bi 0.0000 0.5000 0.0000
8 Bi 0.5000 0.0000 0.5000
9 Te 0.0000 0.5000 0.3336
10 Te 0.0000 0.5000 0.6664
11 Te 0.5000 0.0000 0.1664
12 Te 0.5000 0.0000 0.8336

Record 3
# Sm3HoZn8

A relaxed structure of Sm3HoZn8 (PBE, Alexandria via LeMat-Bulk).

- ΔE to the lowest computed polymorph (meV per atom) = 14
- VASP energy (eV/atom) = -2.7235
- ΔH_f (0 K) (eV per atom) = -0.31

Cell: 5.6164 5.6164 8.6744 Å, 90.00 90.00 120.00°
Atoms (fractional coordinates):
1 Sm 0.0000 0.0000 0.0000
2 Sm 0.0000 0.0000 0.3918
3 Sm 0.3333 0.6667 0.8916
4 Ho 0.3333 0.6667 0.5029
5 Zn 0.0011 0.5006 0.1993
6 Zn 0.3359 0.1679 0.6951
7 Zn 0.4994 0.5006 0.1993
8 Zn 0.4994 0.9989 0.1993
9 Zn 0.6667 0.3333 0.4454
10 Zn 0.6667 0.3333 0.9480
11 Zn 0.8321 0.1679 0.6951
12 Zn 0.8321 0.6641 0.6951

Record 4
# Ca2SiSb

A relaxed structure of Ca2SiSb (PBE, Alexandria via LeMat-Bulk).

- ΔE to the lowest computed polymorph (meV per atom) = 449
- VASP energy (eV/atom) = -3.4466
- E_form (uncorrected) (kJ/mol of atoms) = -5.7

Cell: 7.5007 7.5007 7.5007 Å, 90.00 90.00 90.00°
Atoms (fractional coordinates):
1 Ca 0.0000 0.0000 0.0000
2 Ca 0.0000 0.5000 0.5000
3 Ca 0.2500 0.2500 0.2500
4 Ca 0.2500 0.7500 0.7500
5 Ca 0.5000 0.0000 0.5000
6 Ca 0.5000 0.5000 0.0000
7 Ca 0.7500 0.2500 0.7500
8 Ca 0.7500 0.7500 0.2500
9 Si 0.2500 0.2500 0.7500
10 Si 0.2500 0.7500 0.2500
11 Si 0.7500 0.2500 0.2500
12 Si 0.7500 0.7500 0.7500
13 Sb 0.0000 0.0000 0.5000
14 Sb 0.0000 0.5000 0.0000
15 Sb 0.5000 0.0000 0.0000
16 Sb 0.5000 0.5000 0.5000

Record 5
# NaV5Se8

A relaxed structure of NaV5Se8 (PBE, Alexandria via LeMat-Bulk).

- VASP energy (eV/atom) = -6.1013
- E_form (uncorrected) (kJ/mol of atoms) = -73.3

Cell: 9.3258 9.3258 8.8818 Å, 104.32 104.32 21.32°
Atoms (fractional coordinates):
1 Na 0.0000 0.0000 0.0000
2 V 0.1441 0.1441 0.4925
3 V 0.2096 0.2096 0.8518
4 V 0.5003 0.5003 0.4991
5 V 0.7894 0.7894 0.1460
6 V 0.8559 0.8559 0.5069
7 Se 0.0721 0.0721 0.6855
8 Se 0.2592 0.2592 0.3446
9 Se 0.3414 0.3414 0.9988
10 Se 0.4178 0.4178 0.6930
11 Se 0.5820 0.5820 0.3059
12 Se 0.6576 0.6576 0.9996
13 Se 0.7404 0.7404 0.6543
14 Se 0.9278 0.9278 0.3130

Record 6
# Na3Tm3PaTe8

A relaxed structure of Na3Tm3PaTe8 (PBE, Alexandria via LeMat-Bulk).

- VASP energy (eV/atom) = -4.6529
- E_form (uncorrected) (kJ/mol of atoms) = -114.4

Cell: 9.1297 9.1297 9.1297 Å, 57.35 57.35 57.35°
Atoms (fractional coordinates):
1 Na 0.0000 0.5000 0.5000
2 Na 0.5000 0.0000 0.5000
3 Na 0.5000 0.5000 0.0000
4 Tm 0.0000 0.0000 0.5000
5 Tm 0.0000 0.5000 0.0000
6 Tm 0.5000 0.0000 0.0000
7 Pa 0.5000 0.5000 0.5000
8 Te 0.2379 0.7461 0.7461
9 Te 0.2430 0.2430 0.2430
10 Te 0.2539 0.2539 0.7621
11 Te 0.2539 0.7621 0.2539
12 Te 0.7461 0.2379 0.7461
13 Te 0.7461 0.7461 0.2379
14 Te 0.7570 0.7570 0.7570
15 Te 0.7621 0.2539 0.2539

Record 7
# CaLaPrTl

A relaxed structure of CaLaPrTl (PBE, Alexandria via LeMat-Bulk).

- VASP energy (eV/atom) = -3.6570
- ΔH_f (0 K) (eV per atom) = -0.14

Cell: 8.0785 8.0785 8.0785 Å, 90.00 90.00 90.00°
Atoms (fractional coordinates):
1 Ca 0.0000 0.0000 0.0000
2 Ca 0.0000 0.5000 0.5000
3 Ca 0.5000 0.0000 0.5000
4 Ca 0.5000 0.5000 0.0000
5 La 0.2500 0.2500 0.2500
6 La 0.2500 0.7500 0.7500
7 La 0.7500 0.2500 0.7500
8 La 0.7500 0.7500 0.2500
9 Pr 0.2500 0.2500 0.7500
10 Pr 0.2500 0.7500 0.2500
11 Pr 0.7500 0.2500 0.2500
12 Pr 0.7500 0.7500 0.7500
13 Tl 0.0000 0.0000 0.5000
14 Tl 0.0000 0.5000 0.0000
15 Tl 0.5000 0.0000 0.0000
16 Tl 0.5000 0.5000 0.5000

Record 8
# Hg5I12Br3

A relaxed structure of Hg5I12Br3 (PBE, Alexandria via LeMat-Bulk).

- VASP energy (eV/atom) = -1.2259
- E_form (uncorrected) (kJ/mol of atoms) = 2.9

Cell: 16.5895 16.5895 16.5895 Å, 109.47 109.47 109.47°
Atoms (fractional coordinates):
1 Hg 0.0000 0.0000 0.0000
2 Hg 0.0000 0.0000 0.5000
3 Hg 0.0000 0.5000 0.0000
4 Hg 0.0000 0.5000 0.5000
5 Hg 0.1250 0.7500 0.8750
6 Hg 0.1250 0.8750 0.2500
7 Hg 0.2500 0.1250 0.8750
8 Hg 0.2500 0.6250 0.3750
9 Hg 0.3750 0.2500 0.6250
10 Hg 0.3750 0.6250 0.7500
11 Hg 0.5000 0.0000 0.0000
12 Hg 0.5000 0.0000 0.5000
13 Hg 0.5000 0.5000 0.0000
14 Hg 0.5000 0.5000 0.5000
15 Hg 0.6250 0.3750 0.2500
16 Hg 0.6250 0.7500 0.3750
17 Hg 0.7500 0.3750 0.6250
18 Hg 0.7500 0.8750 0.1250
19 Hg 0.8750 0.1250 0.7500
20 Hg 0.8750 0.2500 0.1250
21 I 0.0237 0.1979 0.1291
22 I 0.0237 0.3259 0.8946
23 I 0.0687 0.6979 0.6741
24 I 0.0687 0.8709 0.3946
25 I 0.1054 0.6291 0.4313
26 I 0.1054 0.9763 0.6741
27 I 0.1291 0.0237 0.1979
28 I 0.1291 0.6054 0.9313
29 I 0.1741 0.1979 0.5687
30 I 0.1741 0.4763 0.6054
31 I 0.1979 0.1291 0.0237
32 I 0.1979 0.5687 0.1741
33 I 0.3021 0.3259 0.9313
34 I 0.3021 0.4763 0.3709
35 I 0.3259 0.8946 0.0237
36 I 0.3259 0.9313 0.3021
37 I 0.3709 0.3021 0.4763
38 I 0.3709 0.5687 0.8946
39 I 0.3946 0.0687 0.8709
40 I 0.3946 0.8259 0.5237
41 I 0.4313 0.1054 0.6291
42 I 0.4313 0.8259 0.8021
43 I 0.4763 0.3709 0.3021
44 I 0.4763 0.6054 0.1741
45 I 0.5237 0.3946 0.8259
46 I 0.5237 0.6291 0.6979
47 I 0.5687 0.1741 0.1979
48 I 0.5687 0.8946 0.3709
49 I 0.6054 0.1741 0.4763
50 I 0.6054 0.9313 0.1291
51 I 0.6291 0.4313 0.1054
52 I 0.6291 0.6979 0.5237
53 I 0.6741 0.0687 0.6979
54 I 0.6741 0.1054 0.9763
55 I 0.6979 0.5237 0.6291
56 I 0.6979 0.6741 0.0687
57 I 0.8021 0.4313 0.8259
58 I 0.8021 0.8709 0.9763
59 I 0.8259 0.5237 0.3946
60 I 0.8259 0.8021 0.4313
61 I 0.8709 0.3946 0.0687
62 I 0.8709 0.9763 0.8021
63 I 0.8946 0.0237 0.3259
64 I 0.8946 0.3709 0.5687
65 I 0.9313 0.1291 0.6054
66 I 0.9313 0.3021 0.3259
67 I 0.9763 0.6741 0.1054
68 I 0.9763 0.8021 0.8709
69 Br 0.1250 0.2500 0.3750
70 Br 0.1250 0.3750 0.7500
71 Br 0.2500 0.3750 0.1250
72 Br 0.2500 0.8750 0.6250
73 Br 0.3750 0.1250 0.2500
74 Br 0.3750 0.7500 0.1250
75 Br 0.6250 0.2500 0.8750
76 Br 0.6250 0.8750 0.7500
77 Br 0.7500 0.1250 0.3750
78 Br 0.7500 0.6250 0.8750
79 Br 0.8750 0.6250 0.2500
80 Br 0.8750 0.7500 0.6250

V in Å³/f.u., matching the order above: 321.5 191.2 237.0 105.5 271.7 505.2 131.8 878.6